[1]
DFT (PBE-GGA) results for Er3ThTl4Te8 after structural relaxation.

a b c (Å): 8.8374 8.8374 24.7961
angles (deg): 90.00 90.00 120.00
Space group R-3m (No. 166, hexagonal axes)
Unique sites:
Er: 0.0000 0.5000 0.0000 [9 per cell]
Th: 0.0000 0.0000 0.0000 [3 per cell]
Tl: 0.0000 0.0000 0.5000 [3 per cell]
Tl: 0.0000 0.5000 0.5000 [9 per cell]
Te: 0.0000 0.0000 0.2630 [6 per cell]
Te: 0.0058 0.5029 0.2613 [18 per cell]

**Electronic total energy**: -4.459 eV per atom
**Fermi-level density of states**: 4.88 states/eV/f.u.
**Energy relative to the elements, uncorrected**: -0.9770 eV per atom
**Crystal system**: trigonal
**Magnetic moment**: 0.00 μB/atom

=====

[2]
DFT (PBE-GGA) results for PmNdSm6 after structural relaxation.

a b c (Å): 5.141 5.141 10.280
angles (deg): 90.00 90.00 90.00
Space group P4/mmm (No. 123)
Unique sites:
Pm: 0.000 0.000 0.000 [1 per cell]
Nd: 0.000 0.000 0.500 [1 per cell]
Sm: 0.000 0.500 0.250 [4 per cell]
Sm: 0.500 0.500 0.000 [1 per cell]
Sm: 0.500 0.500 0.500 [1 per cell]

**Electronic total energy**: -4.713 eV per atom
**Fermi-level density of states**: 13.07 states/eV/f.u.
**Energy of formation from the pure elements**: 0.016 eV/atom
**Crystal system**: tetragonal
**Offset from the most stable computed form**: 0.0 kJ/mol of atoms
**Magnetic moment**: 0.00 μB/atom

=====

[3]
DFT (PBE-GGA) results for NaCu3Br6 after structural relaxation.

a b c (Å): 9.230 13.357 4.112
angles (deg): 90.00 90.00 90.00
Space group Cmmm (No. 65)
Unique sites:
Na: 0.000 0.000 0.000 [2 per cell]
Cu: 0.000 0.500 0.000 [2 per cell]
Cu: 0.250 0.250 0.500 [4 per cell]
Br: 0.000 0.172 0.500 [4 per cell]
Br: 0.190 0.374 0.000 [8 per cell]

**Electronic total energy**: -2.847 eV per atom
**Fermi-level density of states**: 4.84 states/eV/f.u.
**Energy relative to the elements, uncorrected**: -0.4829 eV per atom
**Crystal system**: orthorhombic
**Magnetic moment**: 0.00 μB/atom

=====

[4]
DFT (PBE-GGA) results for MoIrPt2 after structural relaxation.

a b c (Å): 2.774 2.774 7.981
angles (deg): 90.00 90.00 90.00
Space group P4mm (No. 99)
Unique sites:
Mo: 0.000 0.000 0.000 [1 per cell]
Ir: 0.500 0.500 0.772 [1 per cell]
Pt: 0.000 0.000 0.513 [1 per cell]
Pt: 0.500 0.500 0.248 [1 per cell]

**Electronic total energy**: -8.177 eV per atom
**Fermi-level density of states**: 3.70 states/eV/f.u.
**Energy of formation from the pure elements**: -0.234 eV/atom
**Crystal system**: tetragonal
**Offset from the most stable computed form**: 1.7 kJ/mol of atoms
**Magnetic moment**: 0.00 μB/atom

=====

[5]
DFT (PBE-GGA) results for NaSO2 after structural relaxation.

a b c (Å): 4.651 4.651 10.850
angles (deg): 90.00 90.00 90.00
Space group I-42d (No. 122)
Unique sites:
Na: 0.000 0.000 0.000 [4 per cell]
S: 0.000 0.000 0.500 [4 per cell]
O: 0.162 0.250 0.625 [8 per cell]

**Electronic total energy**: -4.333 eV per atom
**Fermi-level density of states**: 0.82 states/eV/f.u.
**Energy relative to the elements, uncorrected**: -0.4921 eV per atom
**Crystal system**: tetragonal
**Magnetic moment**: 0.00 μB/atom

=====

[6]
DFT (PBE-GGA) results for SrLiFe after structural relaxation.

a b c (Å): 6.864 6.864 6.864
angles (deg): 90.00 90.00 90.00
Space group F-43m (No. 216)
Unique sites:
Sr: 0.000 0.000 0.000 [4 per cell]
Li: 0.250 0.250 0.750 [4 per cell]
Fe: 0.000 0.000 0.500 [4 per cell]

**Electronic total energy**: -3.187 eV per atom
**Fermi-level density of states**: 4.99 states/eV/f.u.
**Energy of formation from the pure elements**: 0.833 eV/atom
**Crystal system**: cubic
**Offset from the most stable computed form**: 25.0 kJ/mol of atoms
**Magnetic moment**: 0.84 μB/atom

=====

[7]
DFT (PBE-GGA) results for KNa2Sc after structural relaxation.

a b c (Å): 9.237 9.237 7.387
angles (deg): 90.00 90.00 90.00
Space group I-42d (No. 122)
Unique sites:
K: 0.000 0.000 0.000 [4 per cell]
Na: 0.243 0.250 0.625 [8 per cell]
Sc: 0.000 0.000 0.500 [4 per cell]

**Electronic total energy**: -1.907 eV per atom
**Fermi-level density of states**: 4.95 states/eV/f.u.
**Energy of formation from the pure elements**: 0.609 eV/atom
**Crystal system**: tetragonal
**Offset from the most stable computed form**: 18.6 kJ/mol of atoms
**Magnetic moment**: 0.29 μB/atom

=====

[8]
DFT (PBE-GGA) results for CrTe2H after structural relaxation.

a b c (Å): 5.939 5.939 10.535
angles (deg): 90.00 90.00 90.00
Space group I-42d (No. 122)
Unique sites:
Cr: 0.000 0.000 0.000 [4 per cell]
Te: 0.215 0.250 0.625 [8 per cell]
H: 0.000 0.000 0.500 [4 per cell]

**Electronic total energy**: -4.439 eV per atom
**Fermi-level density of states**: 1.69 states/eV/f.u.
**Crystal system**: tetragonal
**Offset from the most stable computed form**: 39.1 kJ/mol of atoms
**Magnetic moment**: 0.75 μB/atom

=====

[9]
DFT (PBE-GGA) results for Pr4Br5N after structural relaxation.

a b c (Å): 18.315 3.932 8.433
angles (deg): 90.00 103.58 90.00
Space group C2/m (No. 12)
Unique sites:
Pr: 0.001 0.000 0.297 [4 per cell]
Pr: 0.139 0.500 0.574 [4 per cell]
Br: 0.000 0.500 0.000 [2 per cell]
Br: 0.164 0.000 0.847 [4 per cell]
Br: 0.171 0.000 0.324 [4 per cell]
N: 0.000 0.500 0.500 [2 per cell]

**Electronic total energy**: -5.201 eV per atom
**Fermi-level density of states**: 2.62 states/eV/f.u.
**Energy relative to the elements, uncorrected**: -1.6207 eV per atom
**Crystal system**: monoclinic
**Magnetic moment**: 0.00 μB/atom

=====

[10]
DFT (PBE-GGA) results for SrCe2ZrN4 after structural relaxation.

a b c (Å): 6.990 7.066 10.020
angles (deg): 90.00 90.00 90.00
Space group Imma (No. 74)
Unique sites:
Sr: 0.000 0.000 0.000 [4 per cell]
Ce: 0.000 0.000 0.500 [4 per cell]
Ce: 0.250 0.250 0.250 [4 per cell]
Zr: 0.250 0.250 0.750 [4 per cell]
N: 0.000 0.017 0.743 [8 per cell]
N: 0.228 0.250 0.515 [8 per cell]

**Electronic total energy**: -8.251 eV per atom
**Fermi-level density of states**: 4.34 states/eV/f.u.
**Energy relative to the elements, uncorrected**: -1.3266 eV per atom
**Crystal system**: orthorhombic
**Magnetic moment**: 0.08 μB/atom

=====

[11]
DFT (PBE-GGA) results for HoZrAgPb after structural relaxation.

a b c (Å): 7.233 7.233 7.233
angles (deg): 90.00 90.00 90.00
Space group F-43m (No. 216)
Unique sites:
Ho: 0.000 0.000 0.000 [4 per cell]
Zr: 0.000 0.000 0.500 [4 per cell]
Ag: 0.250 0.250 0.250 [4 per cell]
Pb: 0.250 0.250 0.750 [4 per cell]

**Electronic total energy**: -5.105 eV per atom
**Fermi-level density of states**: 2.89 states/eV/f.u.
**Energy of formation from the pure elements**: -0.184 eV/atom
**Crystal system**: cubic
**Magnetic moment**: 0.00 μB/atom

=====

[12]
DFT (PBE-GGA) results for KMn2Pb after structural relaxation.

a b c (Å): 3.171 5.688 11.130
angles (deg): 90.00 90.00 90.00
Space group Imm2 (No. 44)
Unique sites:
K: 0.000 0.000 0.000 [2 per cell]
Mn: 0.000 0.000 0.488 [2 per cell]
Mn: 0.000 0.500 0.794 [2 per cell]
Pb: 0.000 0.500 0.213 [2 per cell]

**Electronic total energy**: -5.084 eV per atom
**Fermi-level density of states**: 3.26 states/eV/f.u.
**Energy of formation from the pure elements**: 0.702 eV/atom
**Crystal system**: orthorhombic
**Offset from the most stable computed form**: 18.8 kJ/mol of atoms
**Magnetic moment**: 1.96 μB/atom

=====

[13]
DFT (PBE-GGA) results for ZrPt after structural relaxation.

a b c (Å): 7.7630 7.7630 5.1446
angles (deg): 90.00 90.00 120.00
Space group P6_3/m (No. 176)
Unique sites:
Zr: 0.0746 0.6465 0.2500 [6 per cell]
Pt: 0.0418 0.7557 0.7500 [6 per cell]

**Electronic total energy**: -7.807 eV per atom
**Fermi-level density of states**: 1.80 states/eV/f.u.
**Energy of formation from the pure elements**: -0.513 eV/atom
**Crystal system**: hexagonal
**Magnetic moment**: 0.00 μB/atom

=====

[14]
DFT (PBE-GGA) results for ZnReSe2S after structural relaxation.

a b c (Å): 4.683 4.683 4.890
angles (deg): 90.00 90.00 90.00
Space group P4/mmm (No. 123)
Unique sites:
Zn: 0.000 0.000 0.000 [1 per cell]
Re: 0.000 0.000 0.500 [1 per cell]
Se: 0.000 0.500 0.000 [2 per cell]
S: 0.500 0.500 0.500 [1 per cell]

**Electronic total energy**: -3.267 eV per atom
**Fermi-level density of states**: 7.57 states/eV/f.u.
**Energy relative to the elements, uncorrected**: 1.6964 eV per atom
**Crystal system**: tetragonal
**Magnetic moment**: 0.00 μB/atom

=====

[15]
DFT (PBE-GGA) results for CuHgAs2 after structural relaxation.

a b c (Å): 4.311 4.311 8.176
angles (deg): 90.00 90.00 90.00
Space group I-4m2 (No. 119)
Unique sites:
Cu: 0.000 0.000 0.000 [2 per cell]
Hg: 0.000 0.500 0.750 [2 per cell]
As: 0.000 0.000 0.500 [2 per cell]
As: 0.000 0.500 0.250 [2 per cell]

**Electronic total energy**: -3.005 eV per atom
**Fermi-level density of states**: 1.92 states/eV/f.u.
**Energy of formation from the pure elements**: 0.419 eV/atom
**Crystal system**: tetragonal
**Magnetic moment**: 0.00 μB/atom

=====

[16]
DFT (PBE-GGA) results for Ce8GaAu2 after structural relaxation.

a b c (Å): 9.236 9.307 7.459
angles (deg): 90.00 113.22 90.00
Space group C2/m (No. 12)
Unique sites:
Ce: 0.067 0.206 0.280 [8 per cell]
Ce: 0.142 0.000 0.749 [4 per cell]
Ce: 0.236 0.000 0.146 [4 per cell]
Ga: 0.000 0.500 0.000 [2 per cell]
Au: 0.120 0.500 0.430 [4 per cell]

**Electronic total energy**: -5.357 eV per atom
**Fermi-level density of states**: 27.41 states/eV/f.u.
**Energy of formation from the pure elements**: -0.170 eV/atom
**Crystal system**: monoclinic
**Offset from the most stable computed form**: 12.1 kJ/mol of atoms
**Magnetic moment**: 0.03 μB/atom

=====

[17]
DFT (PBE-GGA) results for CePa2Co after structural relaxation.

a b c (Å): 6.638 9.160 5.948
angles (deg): 90.00 90.00 90.00
Space group Pnma (No. 62)
Unique sites:
Ce: 0.054 0.250 0.136 [4 per cell]
Pa: 0.171 0.058 0.627 [8 per cell]
Co: 0.107 0.750 0.374 [4 per cell]

**Electronic total energy**: -8.154 eV per atom
**Fermi-level density of states**: 7.39 states/eV/f.u.
**Energy of formation from the pure elements**: -0.146 eV/atom
**Crystal system**: orthorhombic
**Offset from the most stable computed form**: 0.0 kJ/mol of atoms
**Magnetic moment**: 0.00 μB/atom

=====

[18]
DFT (PBE-GGA) results for PrTcPb2O6 after structural relaxation.

a b c (Å): 6.1545 6.1545 14.0589
angles (deg): 90.00 90.00 120.00
Space group R-3 (No. 148, hexagonal axes)
Unique sites:
Pr: 0.0000 0.0000 0.0000 [3 per cell]
Tc: 0.0000 0.0000 0.5000 [3 per cell]
Pb: 0.0000 0.0000 0.2710 [6 per cell]
O: 0.0494 0.4430 0.2514 [18 per cell]

**Electronic total energy**: -6.951 eV per atom
**Fermi-level density of states**: 3.95 states/eV/f.u.
**Energy relative to the elements, uncorrected**: -1.7199 eV per atom
**Crystal system**: trigonal
**Magnetic moment**: 0.20 μB/atom

=====

[19]
DFT (PBE-GGA) results for Tb4Mg after structural relaxation.

a b c (Å): 3.578 3.578 23.655
angles (deg): 90.00 90.00 90.00
Space group I4/mmm (No. 139)
Unique sites:
Tb: 0.000 0.000 0.093 [4 per cell]
Tb: 0.000 0.000 0.303 [4 per cell]
Mg: 0.000 0.000 0.500 [2 per cell]

**Electronic total energy**: -4.043 eV per atom
**Fermi-level density of states**: 7.14 states/eV/f.u.
**Energy of formation from the pure elements**: -0.020 eV/atom
**Crystal system**: tetragonal
**Offset from the most stable computed form**: 0.0 kJ/mol of atoms
**Magnetic moment**: 0.00 μB/atom

=====

[20]
DFT (PBE-GGA) results for Ho8Zn2Fe after structural relaxation.

a b c (Å): 17.132 5.161 6.682
angles (deg): 90.00 108.42 90.00
Space group C2/m (No. 12)
Unique sites:
Ho: 0.025 0.000 0.290 [4 per cell]
Ho: 0.090 0.500 0.927 [4 per cell]
Ho: 0.156 0.500 0.462 [4 per cell]
Ho: 0.198 0.000 0.804 [4 per cell]
Zn: 0.184 0.000 0.215 [4 per cell]
Fe: 0.000 0.500 0.500 [2 per cell]

**Electronic total energy**: -4.424 eV per atom
**Fermi-level density of states**: 8.15 states/eV/f.u.
**Energy of formation from the pure elements**: -0.094 eV/atom
**Crystal system**: monoclinic
**Offset from the most stable computed form**: 0.0 kJ/mol of atoms
**Magnetic moment**: 0.00 μB/atom

=====

[21]
DFT (PBE-GGA) results for Be4PtAu2 after structural relaxation.

a b c (Å): 4.263 4.263 11.852
angles (deg): 90.00 90.00 90.00
Space group I4/mmm (No. 139)
Unique sites:
Be: 0.000 0.000 0.188 [4 per cell]
Be: 0.000 0.500 0.000 [4 per cell]
Pt: 0.000 0.000 0.000 [2 per cell]
Au: 0.000 0.000 0.375 [4 per cell]

**Electronic total energy**: -3.783 eV per atom
**Fermi-level density of states**: 1.88 states/eV/f.u.
**Energy of formation from the pure elements**: 0.146 eV/atom
**Crystal system**: tetragonal
**Magnetic moment**: 0.00 μB/atom

=====

[22]
DFT (PBE-GGA) results for Li2PmBiS after structural relaxation.

a b c (Å): 4.633 4.633 5.676
angles (deg): 90.00 90.00 90.00
Space group P4mm (No. 99)
Unique sites:
Li: 0.000 0.500 0.000 [2 per cell]
Pm: 0.000 0.000 0.551 [1 per cell]
Bi: 0.500 0.500 0.596 [1 per cell]
S: 0.000 0.000 0.066 [1 per cell]

**Electronic total energy**: -4.417 eV per atom
**Fermi-level density of states**: 0.46 states/eV/f.u.
**Energy relative to the elements, uncorrected**: -1.1002 eV per atom
**Crystal system**: tetragonal
**Magnetic moment**: 0.00 μB/atom

=====

[23]
DFT (PBE-GGA) results for La5PmSm2Ho after structural relaxation.

a b c (Å): 9.137 9.137 15.398
angles (deg): 90.00 90.00 90.00
Space group I4/mcm (No. 140)
Unique sites:
La: 0.000 0.000 0.000 [4 per cell]
La: 0.208 0.292 0.140 [16 per cell]
Pm: 0.000 0.000 0.250 [4 per cell]
Sm: 0.114 0.386 0.500 [8 per cell]
Ho: 0.000 0.500 0.250 [4 per cell]

**Electronic total energy**: -4.547 eV per atom
**Fermi-level density of states**: 16.91 states/eV/f.u.
**Energy of formation from the pure elements**: 0.276 eV/atom
**Crystal system**: tetragonal
**Magnetic moment**: 0.00 μB/atom

=====

[24]
DFT (PBE-GGA) results for HfThGa2Cu2 after structural relaxation.

a b c (Å): 4.2803 4.2803 7.1091
angles (deg): 90.00 90.00 120.00
Space group P-3m1 (No. 164)
Unique sites:
Hf: 0.0000 0.0000 0.0000 [1 per cell]
Th: 0.0000 0.0000 0.5000 [1 per cell]
Ga: 0.3333 0.6667 0.2169 [2 per cell]
Cu: 0.3333 0.6667 0.8106 [2 per cell]

**Electronic total energy**: -5.700 eV per atom
**Fermi-level density of states**: 3.85 states/eV/f.u.
**Energy of formation from the pure elements**: -0.430 eV/atom
**Crystal system**: trigonal
**Magnetic moment**: 0.00 μB/atom